## Ca2YOsO6 (PBE)

Data for a geometry-optimized Ca2YOsO6 structure.

DOS at the Fermi energy: 0.025 states/eV/atom
Formation energy (no corrections): -2464 meV/atom

a b c (Å): 5.6136 5.8326 9.7963
angles (deg): 90.00 124.47 90.00
Space group P2_1/c (No. 14)
One atom of each set of equivalent atoms:
Ca1 0.2351 0.0551 0.2512
Y1 0.5000 0.0000 0.0000
Os1 0.0000 0.0000 0.5000
O1 0.1162 0.2163 0.9373
O2 0.2314 0.6858 0.9450
O3 0.3433 0.0460 0.7321


## NdSm3Ho5 (PBE)

Data for a geometry-optimized NdSm3Ho5 structure.

DOS at the Fermi energy: 1.472 states/eV/atom
Formation energy: 0.1639 eV/atom
Energy relative to the lowest polymorph listed for this composition: 0.000 eV/atom

a b c (Å): 16.5013 6.7099 11.3753
angles (deg): 90.00 109.36 90.00
Space group C2/c (No. 15)
One atom of each set of equivalent atoms:
Nd1 0.0000 0.2274 0.2500
Sm1 0.0000 0.0000 0.0000
Sm2 0.2386 0.3754 0.3545
Ho1 0.0000 0.3212 0.7500
Ho2 0.1077 0.4974 0.5460
Ho3 0.1759 0.1221 0.8742


Number 1: magnetization 3.00 μB/f.u., electronic total energy -7.608 eV/atom. Number 2: magnetization 0.00 μB/f.u., electronic total energy -4.482 eV/atom.